A plane-wave DFT calculation with PBE was carried out for a relaxed LiDy3Ir crystal.

Unit cell a=5.4241 b=5.4241 c=5.4241 alpha=90.00 beta=90.00 gamma=90.00
Last column: nearest neighbours and their distance in Å.
Atoms (fractional coordinates):
Dy (0.5000, 0.0000, 0.0000)  2 Ir 2.71
Dy (0.0000, 0.5000, 0.0000)  2 Ir 2.71
Li (0.5000, 0.5000, 0.5000)  12 Dy 3.84
Ir (0.0000, 0.0000, 0.0000)  6 Dy 2.71
Dy (0.0000, 0.0000, 0.5000)  2 Ir 2.71

Summary:
final energy: -5.17 eV/atom
total magnetic moment: 0.000 μB/f.u.
density of states at the Fermi level: 2.57 states/eV/f.u.
formation energy from the elements: -0.253 eV/atom
symmetry: No. 221